VASP calculation (meta-GGA SCAN) on KCd2Ag at its PBEsol-relaxed geometry.

Cell: 3.0598 4.2162 7.7435 Å, 90.00 90.00 90.00°
Positions (direct):
K 0.0000 0.0000 0.0000
Cd 0.0000 0.0000 0.4630
Cd 0.5000 0.5000 0.6824
Ag 0.5000 0.5000 0.3079

E_tot, eV/cell: -100.475
Excess energy over the best structure of this formula in the dataset, meV/atom: 20
SG: No. 25
DOS at the Fermi energy, states/eV/f.u.: 1.414
Formation enthalpy at 0 K, meV per atom: 12

***

VASP calculation (meta-GGA SCAN) on Bi3O4F at its PBEsol-relaxed geometry.

Cell: 6.5298 6.5298 11.1897 Å, 90.00 90.00 144.15°
Positions (direct):
Bi 0.1303 0.8697 0.5884
Bi 0.1303 0.8697 0.9116
Bi 0.1707 0.8293 0.2500
Bi 0.8293 0.1707 0.7500
Bi 0.8697 0.1303 0.0884
Bi 0.8697 0.1303 0.4116
O 0.0351 0.9649 0.7500
O 0.2499 0.7501 0.7500
O 0.2785 0.7215 0.0950
O 0.2785 0.7215 0.4050
O 0.7215 0.2785 0.5950
O 0.7215 0.2785 0.9050
O 0.7501 0.2499 0.2500
O 0.9649 0.0351 0.2500
F 0.5000 0.5000 0.0000
F 0.5000 0.5000 0.5000

E_tot, eV/cell: -548.989
Excess energy over the best structure of this formula in the dataset, meV/atom: 52
SG: No. 63
Uncorrected formation energy, eV/atom: -1.29
DOS at the Fermi energy, states/eV/f.u.: 0.000

***

VASP calculation (meta-GGA SCAN) on KNaBi3 at its PBEsol-relaxed geometry.

Cell: 5.5854 5.5854 5.5854 Å, 90.00 90.00 90.00°
Positions (direct):
K 0.0000 0.0000 0.0000
Na 0.5000 0.5000 0.5000
Bi 0.0000 0.5000 0.5000
Bi 0.5000 0.0000 0.5000
Bi 0.5000 0.5000 0.0000

E_tot, eV/cell: -247.415
SG: No. 221
DOS at the Fermi energy, states/eV/f.u.: 2.701
Formation enthalpy at 0 K, meV per atom: 173

***

VASP calculation (meta-GGA SCAN) on CdReBr2 at its PBEsol-relaxed geometry.

Cell: 6.8273 6.8273 6.8273 Å, 154.37 140.08 48.05°
Positions (direct):
Cd 0.0000 0.0000 0.0000
Re 0.1902 0.6902 0.5000
Br 0.3521 0.3521 0.0000
Br 0.6709 0.1709 0.5000

E_tot, eV/cell: -137.765
Excess energy over the best structure of this formula in the dataset, meV/atom: 401
SG: No. 44
Uncorrected formation energy, eV/atom: 0.67
DOS at the Fermi energy, states/eV/f.u.: 1.269

***

VASP calculation (meta-GGA SCAN) on Sc3Mn at its PBEsol-relaxed geometry.

Cell: 6.7156 8.2846 5.5971 Å, 90.00 90.00 90.00°
Positions (direct):
Sc 0.0451 0.2500 0.1259
Sc 0.1776 0.0633 0.6501
Sc 0.1776 0.4367 0.6501
Sc 0.3224 0.5633 0.1501
Sc 0.3224 0.9367 0.1501
Sc 0.4549 0.7500 0.6259
Sc 0.5451 0.2500 0.3741
Sc 0.6776 0.0633 0.8499
Sc 0.6776 0.4367 0.8499
Sc 0.8224 0.5633 0.3499
Sc 0.8224 0.9367 0.3499
Sc 0.9549 0.7500 0.8741
Mn 0.1151 0.7500 0.4513
Mn 0.3849 0.2500 0.9513
Mn 0.6151 0.7500 0.0487
Mn 0.8849 0.2500 0.5487

E_tot, eV/cell: -243.057
SG: No. 62
DOS at the Fermi energy, states/eV/f.u.: 4.239
Formation enthalpy at 0 K, meV per atom: 51

***

VASP calculation (meta-GGA SCAN) on Be2AgTe at its PBEsol-relaxed geometry.

Cell: 6.0645 6.0645 6.0645 Å, 148.06 146.00 47.34°
Positions (direct):
Be 0.0000 0.0000 0.0000
Be 0.6240 0.1240 0.5000
Ag 0.4380 0.4380 0.0000
Te 0.2020 0.7020 0.5000

E_tot, eV/cell: -75.570
SG: No. 44
Uncorrected formation energy, eV/atom: 0.44
DOS at the Fermi energy, states/eV/f.u.: 1.299

***

VASP calculation (meta-GGA SCAN) on GdNi5 at its PBEsol-relaxed geometry.

Cell: 4.8135 4.8135 3.9033 Å, 90.00 90.00 120.00°
Positions (direct):
Gd 0.0000 0.0000 0.0000
Ni 0.0000 0.5000 0.5000
Ni 0.3333 0.6667 0.0000
Ni 0.5000 0.0000 0.5000
Ni 0.5000 0.5000 0.5000
Ni 0.6667 0.3333 0.0000

E_tot, eV/cell: -141.265
SG: No. 191
DOS at the Fermi energy, states/eV/f.u.: 4.039
Formation enthalpy at 0 K, meV per atom: -264

***

VASP calculation (meta-GGA SCAN) on Y3Ir at its PBEsol-relaxed geometry.

Cell: 7.1459 9.1638 6.3016 Å, 90.00 90.00 90.00°
Positions (direct):
Y 0.0346 0.2500 0.1302
Y 0.1763 0.0624 0.6733
Y 0.1763 0.4376 0.6733
Y 0.3237 0.5624 0.1733
Y 0.3237 0.9376 0.1733
Y 0.4654 0.7500 0.6302
Y 0.5346 0.2500 0.3698
Y 0.6763 0.0624 0.8267
Y 0.6763 0.4376 0.8267
Y 0.8237 0.5624 0.3267
Y 0.8237 0.9376 0.3267
Y 0.9654 0.7500 0.8698
Ir 0.1164 0.7500 0.4543
Ir 0.3836 0.2500 0.9543
Ir 0.6164 0.7500 0.0457
Ir 0.8836 0.2500 0.5457

E_tot, eV/cell: -629.727
SG: No. 62
DOS at the Fermi energy, states/eV/f.u.: 3.967
Formation enthalpy at 0 K, meV per atom: -701

***

VASP calculation (meta-GGA SCAN) on Ba4Si3Br2 at its PBEsol-relaxed geometry.

Cell: 14.9458 8.7560 8.7685 Å, 90.00 101.84 90.00°
Positions (direct):
Ba 0.0436 0.2128 0.0222
Ba 0.0436 0.2872 0.5222
Ba 0.1468 0.5581 0.8724
Ba 0.1468 0.9419 0.3724
Ba 0.3319 0.6628 0.2655
Ba 0.3319 0.8372 0.7655
Ba 0.3502 0.1766 0.1195
Ba 0.3502 0.3234 0.6195
Ba 0.6498 0.6766 0.3805
Ba 0.6498 0.8234 0.8805
Ba 0.6681 0.1628 0.2345
Ba 0.6681 0.3372 0.7345
Ba 0.8532 0.0581 0.6276
Ba 0.8532 0.4419 0.1276
Ba 0.9564 0.7128 0.4778
Ba 0.9564 0.7872 0.9778
Si 0.0889 0.5651 0.2396
Si 0.0889 0.9349 0.7396
Si 0.1861 0.5675 0.4950
Si 0.1861 0.9325 0.9950
Si 0.1995 0.1345 0.8042
Si 0.1995 0.3655 0.3042
Si 0.8005 0.6345 0.6958
Si 0.8005 0.8655 0.1958
Si 0.8139 0.0675 0.0050
Si 0.8139 0.4325 0.5050
Si 0.9111 0.0651 0.2604
Si 0.9111 0.4349 0.7604
Br 0.3664 0.5065 0.9481
Br 0.3664 0.9935 0.4481
Br 0.4922 0.6388 0.6330
Br 0.4922 0.8612 0.1330
Br 0.5078 0.1388 0.8670
Br 0.5078 0.3612 0.3670
Br 0.6336 0.0065 0.5519
Br 0.6336 0.4935 0.0519

E_tot, eV/cell: -949.807
SG: No. 14
Uncorrected formation energy, eV/atom: -1.14

***

VASP calculation (meta-GGA SCAN) on KTiGe3 at its PBEsol-relaxed geometry.

Cell: 4.9203 4.9203 4.9203 Å, 90.00 90.00 90.00°
Positions (direct):
K 0.0000 0.0000 0.0000
Ti 0.5000 0.5000 0.5000
Ge 0.0000 0.5000 0.5000
Ge 0.5000 0.0000 0.5000
Ge 0.5000 0.5000 0.0000

E_tot, eV/cell: -81.973
SG: No. 221
DOS at the Fermi energy, states/eV/f.u.: 1.713
Formation enthalpy at 0 K, meV per atom: -70

***

VASP calculation (meta-GGA SCAN) on SmCuSi at its PBEsol-relaxed geometry.

Cell: 4.0584 4.0584 4.0092 Å, 90.00 90.00 120.00°
Positions (direct):
Sm 0.0000 0.0000 0.0000
Cu 0.3333 0.6667 0.5000
Si 0.6667 0.3333 0.5000

E_tot, eV/cell: -71.647
SG: No. 187
Uncorrected formation energy, eV/atom: -0.66
DOS at the Fermi energy, states/eV/f.u.: 2.116

***

VASP calculation (meta-GGA SCAN) on La4YRh at its PBEsol-relaxed geometry.

Cell: 6.2546 6.2546 6.2546 Å, 60.00 60.00 60.00°
Positions (direct):
La 0.3777 0.3777 0.3777
La 0.3777 0.3777 0.8669
La 0.3777 0.8669 0.3777
La 0.8669 0.3777 0.3777
Y 0.0000 0.0000 0.0000
Rh 0.7500 0.7500 0.7500

E_tot, eV/cell: -231.025
SG: No. 216
DOS at the Fermi energy, states/eV/f.u.: 8.988
Formation enthalpy at 0 K, meV per atom: 502

***

VASP calculation (meta-GGA SCAN) on Tb2Te3 at its PBEsol-relaxed geometry.

Cell: 14.2427 13.5799 7.4413 Å, 79.47 69.62 30.91°
Positions (direct):
Tb 0.0423 0.0423 0.2077
Tb 0.1249 0.1249 0.6251
Tb 0.2077 0.2077 0.0423
Tb 0.3749 0.3749 0.8751
Tb 0.6251 0.6251 0.1249
Tb 0.7923 0.7923 0.9577
Tb 0.8751 0.8751 0.3749
Tb 0.9577 0.9577 0.7923
Te 0.0418 0.5408 0.2117
Te 0.1308 0.6192 0.6192
Te 0.2117 0.7058 0.0418
Te 0.2942 0.7883 0.4592
Te 0.3808 0.8692 0.8692
Te 0.4592 0.9582 0.2942
Te 0.5408 0.0418 0.7058
Te 0.6192 0.1308 0.1308
Te 0.7058 0.2117 0.5408
Te 0.7883 0.2942 0.9582
Te 0.8692 0.3808 0.3808
Te 0.9582 0.4592 0.7883

E_tot, eV/cell: -852.277
SG: No. 70
Uncorrected formation energy, eV/atom: -1.56

***

VASP calculation (meta-GGA SCAN) on MgBe2Pt2 at its PBEsol-relaxed geometry.

Cell: 6.3211 6.3211 6.3211 Å, 148.77 148.77 44.74°
Positions (direct):
Mg 0.0000 0.0000 0.0000
Be 0.2500 0.7500 0.5000
Be 0.7500 0.2500 0.5000
Pt 0.3821 0.3821 0.0000
Pt 0.6179 0.6179 0.0000

E_tot, eV/cell: -157.882
Excess energy over the best structure of this formula in the dataset, meV/atom: 200
SG: No. 139
DOS at the Fermi energy, states/eV/f.u.: 1.891
Formation enthalpy at 0 K, meV per atom: -763

***

VASP calculation (meta-GGA SCAN) on ErCo5P3 at its PBEsol-relaxed geometry.

Cell: 11.5478 3.5804 10.1298 Å, 90.00 90.00 90.00°
Positions (direct):
Er 0.2030 0.2500 0.0833
Er 0.2970 0.7500 0.5834
Er 0.7030 0.2500 0.4166
Er 0.7970 0.7500 0.9166
Co 0.0083 0.7500 0.7167
Co 0.0126 0.7500 0.0927
Co 0.0688 0.7500 0.4685
Co 0.1767 0.2500 0.7803
Co 0.1983 0.2500 0.3834
Co 0.3017 0.7500 0.8834
Co 0.3233 0.7500 0.2803
Co 0.4312 0.2500 0.9685
Co 0.4874 0.2500 0.5927
Co 0.4917 0.2500 0.2167
Co 0.5083 0.7500 0.7833
Co 0.5126 0.7500 0.4073
Co 0.5688 0.7500 0.0315
Co 0.6767 0.2500 0.7197
Co 0.6983 0.2500 0.1166
Co 0.8017 0.7500 0.6166
Co 0.8233 0.7500 0.2197
Co 0.9312 0.2500 0.5315
Co 0.9874 0.2500 0.9073
Co 0.9917 0.2500 0.2833
P 0.1093 0.7500 0.8989
P 0.1119 0.2500 0.5832
P 0.1292 0.7500 0.2703
P 0.3708 0.2500 0.7703
P 0.3881 0.7500 0.0832
P 0.3907 0.2500 0.3989
P 0.6093 0.7500 0.6011
P 0.6119 0.2500 0.9168
P 0.6292 0.7500 0.2297
P 0.8708 0.2500 0.7297
P 0.8881 0.7500 0.4168
P 0.8907 0.2500 0.1011

E_tot, eV/cell: -700.973
SG: No. 62
DOS at the Fermi energy, states/eV/f.u.: 2.883
Formation enthalpy at 0 K, meV per atom: -798

***

VASP calculation (meta-GGA SCAN) on Sr2Ni3 at its PBEsol-relaxed geometry.

Cell: 4.0436 4.0436 8.5007 Å, 90.00 90.00 120.00°
Positions (direct):
Sr 0.3333 0.6667 0.2200
Sr 0.6667 0.3333 0.7800
Ni 0.0000 0.0000 0.5000
Ni 0.3333 0.6667 0.5412
Ni 0.6667 0.3333 0.4588

E_tot, eV/cell: -93.331
SG: No. 164
DOS at the Fermi energy, states/eV/f.u.: 3.020
Formation enthalpy at 0 K, meV per atom: -52

***

VASP calculation (meta-GGA SCAN) on FeRuSe2 at its PBEsol-relaxed geometry.

Cell: 3.7610 3.7614 5.4045 Å, 90.00 90.09 90.00°
Positions (direct):
Fe 0.0000 0.0000 0.0000
Ru 0.4999 0.5000 0.0000
Se 0.0005 0.5000 0.2613
Se 0.4994 0.0000 0.7386

E_tot, eV/cell: -93.895
Excess energy over the best structure of this formula in the dataset, meV/atom: 0
SG: No. 6
Uncorrected formation energy, eV/atom: -0.20
DOS at the Fermi energy, states/eV/f.u.: 2.381

***

VASP calculation (meta-GGA SCAN) on NbInFe2Sb at its PBEsol-relaxed geometry.

Cell: 4.6325 4.6325 5.3498 Å, 90.00 90.00 90.00°
Positions (direct):
Nb 0.0000 0.0000 0.0000
In 0.5000 0.5000 0.5000
Fe 0.0000 0.5000 0.5000
Fe 0.5000 0.0000 0.5000
Sb 0.5000 0.5000 0.0000

E_tot, eV/cell: -132.366
SG: No. 123
Uncorrected formation energy, eV/atom: 1.53
DOS at the Fermi energy, states/eV/f.u.: 3.650

***

VASP calculation (meta-GGA SCAN) on InTeIO2 at its PBEsol-relaxed geometry.

Cell: 4.2637 4.2637 6.0905 Å, 90.00 90.00 90.00°
Positions (direct):
In 0.0000 0.0000 0.0000
Te 0.5000 0.5000 0.5000
I 0.5000 0.5000 0.0000
O 0.0000 0.5000 0.5000
O 0.5000 0.0000 0.5000

E_tot, eV/cell: -121.179
SG: No. 123
Uncorrected formation energy, eV/atom: -0.27
DOS at the Fermi energy, states/eV/f.u.: 1.275

***

VASP calculation (meta-GGA SCAN) on Zn2BiI at its PBEsol-relaxed geometry.

Cell: 5.1307 5.1307 5.1307 Å, 60.00 60.00 60.00°
Positions (direct):
Zn 0.2500 0.2500 0.2500
Zn 0.7500 0.7500 0.7500
Bi 0.0000 0.0000 0.0000
I 0.5000 0.5000 0.5000

E_tot, eV/cell: -140.450
SG: No. 225
Uncorrected formation energy, eV/atom: 0.48
DOS at the Fermi energy, states/eV/f.u.: 2.318

***

VASP calculation (meta-GGA SCAN) on Sr2ScP at its PBEsol-relaxed geometry.

Cell: 4.1098 6.6775 6.6775 Å, 42.38 90.00 90.00°
Positions (direct):
Sr 0.0000 0.0000 0.0000
Sr 0.5000 0.3019 0.3019
Sc 0.5000 0.6097 0.6097
P 0.0000 0.7315 0.7315

E_tot, eV/cell: -71.587
SG: No. 38
DOS at the Fermi energy, states/eV/f.u.: 1.501
Formation enthalpy at 0 K, meV per atom: -600

***

VASP calculation (meta-GGA SCAN) on TiAu3Br at its PBEsol-relaxed geometry.

Cell: 4.9517 4.9517 4.9517 Å, 90.00 90.00 90.00°
Positions (direct):
Ti 0.0000 0.0000 0.0000
Au 0.0000 0.0000 0.5000
Au 0.0000 0.5000 0.0000
Au 0.5000 0.0000 0.0000
Br 0.5000 0.5000 0.5000

E_tot, eV/cell: -239.723
Excess energy over the best structure of this formula in the dataset, meV/atom: 0
SG: No. 221
Uncorrected formation energy, eV/atom: 0.65
DOS at the Fermi energy, states/eV/f.u.: 5.752